{"formula": "TbPr5Nd2Ho", "functional": "PBE", "state": "relaxed", "lattice": [[8.7168, 0.0000, 0.0000], [0.0000, 8.7168, 0.0000], [-4.3584, -4.3584, 8.4018]], "species": ["Tb", "Tb", "Pr", "Pr", "Pr", "Pr", "Pr", "Pr", "Pr", "Pr", "Pr", "Pr", "Nd", "Nd", "Nd", "Nd", "Ho", "Ho"], "frac_coords": [[0.2500, 0.2500, 0.5000], [0.7500, 0.7500, 0.5000], [0.9267, 0.4267, 0.2864], [0.6403, 0.1403, 0.7136], [0.0733, 0.5733, 0.7136], [0.1403, 0.0733, 0.7136], [0.5733, 0.6403, 0.7136], [0.8597, 0.9267, 0.2864], [0.4267, 0.3597, 0.2864], [0.3597, 0.8597, 0.2864], [0.5000, 0.5000, 0.0000], [0.0000, 0.0000, 0.0000], [0.1212, 0.3788, 0.0000], [0.6212, 0.1212, 0.0000], [0.3788, 0.8788, 0.0000], [0.8788, 0.6212, 0.0000], [0.2500, 0.7500, 0.5000], [0.7500, 0.2500, 0.5000]], "n_ef_per_ev_fu": 14.471, "spacegroup": "I4/mcm", "ef_mev_per_atom": 273.5, "crystal_system": "tetragonal"}


{"formula": "CuNiGe", "functional": "PBE", "state": "relaxed", "lattice": [[-2.0183, 1.8302, 0.4133], [-2.5018, -2.2560, -2.2271], [0.2629, -0.6096, 3.9835]], "species": ["Ni", "Ge", "Cu"], "frac_coords": [[0.5214, 0.3333, 0.6667], [0.4638, 0.6667, 0.3333], [0.0148, 0.0000, 0.0000]], "n_ef_per_ev_fu": 1.107, "spacegroup": "P3m1", "ef_mev_per_atom": -67.8, "crystal_system": "trigonal"}


{"formula": "Cd2SnPd5Au", "functional": "PBE", "state": "relaxed", "lattice": [[7.6269, 0.0000, 0.0000], [0.0000, 7.6269, 0.0000], [-3.8135, -3.8135, 5.8441]], "species": ["Cd", "Cd", "Cd", "Cd", "Sn", "Sn", "Pd", "Pd", "Pd", "Pd", "Pd", "Pd", "Pd", "Pd", "Pd", "Pd", "Au", "Au"], "frac_coords": [[0.1168, 0.3832, 0.0000], [0.6168, 0.1168, 0.0000], [0.3832, 0.8832, 0.0000], [0.8832, 0.6168, 0.0000], [0.2500, 0.2500, 0.5000], [0.7500, 0.7500, 0.5000], [0.9344, 0.4344, 0.2768], [0.6576, 0.1576, 0.7232], [0.0656, 0.5656, 0.7232], [0.1576, 0.0656, 0.7232], [0.5656, 0.6576, 0.7232], [0.8424, 0.9344, 0.2768], [0.4344, 0.3424, 0.2768], [0.3424, 0.8424, 0.2768], [0.5000, 0.5000, 0.0000], [0.0000, 0.0000, 0.0000], [0.2500, 0.7500, 0.5000], [0.7500, 0.2500, 0.5000]], "n_ef_per_ev_fu": 1.994, "spacegroup": "I4/mcm", "ef_mev_per_atom": -35.8, "crystal_system": "tetragonal"}


{"formula": "EuHoEr4", "functional": "PBE", "state": "relaxed", "lattice": [[6.6138, 0.0000, 0.0000], [3.3069, 5.7277, 0.0000], [3.3069, 1.9092, 5.4001]], "species": ["Eu", "Ho", "Er", "Er", "Er", "Er"], "frac_coords": [[0.2500, 0.2500, 0.2500], [0.0000, 0.0000, 0.0000], [0.6265, 0.6265, 0.1204], [0.6265, 0.1204, 0.6265], [0.6265, 0.6265, 0.6265], [0.1204, 0.6265, 0.6265]], "n_ef_per_ev_fu": 8.086, "spacegroup": "F-43m", "ef_mev_per_atom": 253.6, "crystal_system": "cubic"}


Repeat the fourth record exactly.
{"formula": "EuHoEr4", "functional": "PBE", "state": "relaxed", "lattice": [[6.6138, 0.0000, 0.0000], [3.3069, 5.7277, 0.0000], [3.3069, 1.9092, 5.4001]], "species": ["Eu", "Ho", "Er", "Er", "Er", "Er"], "frac_coords": [[0.2500, 0.2500, 0.2500], [0.0000, 0.0000, 0.0000], [0.6265, 0.6265, 0.1204], [0.6265, 0.1204, 0.6265], [0.6265, 0.6265, 0.6265], [0.1204, 0.6265, 0.6265]], "n_ef_per_ev_fu": 8.086, "spacegroup": "F-43m", "ef_mev_per_atom": 253.6, "crystal_system": "cubic"}


What is the formula in the second record? CuNiGe